This record from Alexandria via LeMat-Bulk describes an optimized crystal structure of RbBaTlSb. The functional is PBE.

Computed properties:
ρ (g/cm3): 5.87
Formation energy (no corrections) (eV/atom): -0.3074
Size of the total moment (Bohr magnetons per cell): 0.000
Total energy (eV per atom): -2.6522

abc: 8.532 8.532 8.532
angles: 90.00 90.00 90.00
Space group F-43m (No. 216)
Inequivalent atoms, fractional coordinates:
Rb1 0.000 0.000 0.000
Ba1 0.250 0.250 0.250
Tl1 0.250 0.250 0.750
Sb1 0.000 0.000 0.500